Crystalline Cs2Pa3MoO12 at its relaxed geometry, computed with GGA+U.

Calculated values
Its magnetization is 0.00 μB per atom. The calculation puts the total energy at -439.22 eV/cell.

Cell and atoms, written as CIF:
```
data_Cs2Pa3MoO12
_cell_length_a 8.0395
_cell_length_b 8.0395
_cell_length_c 19.1027
_cell_angle_alpha 90.00
_cell_angle_beta 90.00
_cell_angle_gamma 120.00
_symmetry_space_group_name_H-M 'R -3 m'
_symmetry_Int_Tables_number 166
_symmetry_space_group_name_Hall '-R 3 2"'
loop_
_atom_site_label
_atom_site_type_symbol
_atom_site_fract_x
_atom_site_fract_y
_atom_site_fract_z
_atom_site_occupancy
Cs1 Cs 0.0000 0.0000 0.1232 1
Pa1 Pa 0.0000 0.5000 0.0000 1
Mo1 Mo 0.0000 0.0000 0.5000 1
O1 O 0.0770 0.5385 0.3586 1
O2 O 0.1042 0.5521 0.1089 1
```